No. 1
Entry from Alexandria: a crystal of Gd4Sb3 relaxed with PBEsol (SCAN).

Calculated values
Theoretical density (Mg/m³): 8.62
Crystal system: cubic
E_form (uncorrected) (kJ per mole of atoms): -114.7
Total moment (μB per formula unit): 31.0
Calculated volume (A^3/atom): 27.35

a = 7.9236 Å, b = 7.9236 Å, c = 7.9236 Å
α = 109.47°, β = 109.47°, γ = 109.47°
Each line ends with the local moment (μB).
Positions (direct):
Gd1 0.5000 0.8550 0.5000  7.43
Gd2 0.5000 0.3550 0.5000  7.43
Gd3 0.3550 0.0000 0.0000  7.43
Gd4 0.0000 0.5000 0.3550  7.43
Gd5 0.8550 0.0000 0.0000  7.43
Gd6 0.1450 0.1450 0.6450  7.43
Gd7 0.0000 0.5000 0.8550  7.43
Gd8 0.6450 0.6450 0.1450  7.43
Sb1 0.8750 0.7500 0.6250  -0.16
Sb2 0.1250 0.8750 0.2500  -0.16
Sb3 0.3750 0.6250 0.7500  -0.16
Sb4 0.6250 0.2500 0.8750  -0.16
Sb5 0.2500 0.3750 0.1250  -0.16
Sb6 0.7500 0.1250 0.3750  -0.16


No. 2
Entry from Alexandria: a crystal of GdZrSb relaxed with PBEsol (SCAN).

Calculated values
Theoretical density (Mg/m³): 8.27
Crystal system: tetragonal
E_form (uncorrected) (kJ per mole of atoms): -86.1
Total moment (μB per formula unit): 7.9
Calculated volume (A^3/atom): 24.77

a = 4.2299 Å, b = 4.2299 Å, c = 8.8281 Å
α = 103.86°, β = 103.86°, γ = 90.00°
Each line ends with the local moment (μB).
Positions (direct):
Sb1 0.8696 0.8696 0.7393  -0.08
Sb2 0.1304 0.1304 0.2607  -0.08
Gd1 0.6779 0.6779 0.3558  7.38
Gd2 0.3221 0.3221 0.6442  7.38
Zr1 0.0000 0.5000 0.0000  0.07
Zr2 0.5000 0.0000 0.0000  0.07


No. 3
Entry from Alexandria: a crystal of GdScSi relaxed with PBEsol (SCAN).

Calculated values
Theoretical density (Mg/m³): 5.72
Crystal system: tetragonal
E_form (uncorrected) (kJ per mole of atoms): -67.7
Total moment (μB per formula unit): 8.0
Calculated volume (A^3/atom): 22.27

a = 4.1612 Å, b = 4.1612 Å, c = 8.2598 Å
α = 104.59°, β = 104.59°, γ = 90.00°
Each line ends with the local moment (μB).
Positions (direct):
Gd1 0.3220 0.3220 0.6440  7.38
Gd2 0.6780 0.6780 0.3560  7.38
Sc1 0.0000 0.5000 0.0000  0.16
Sc2 0.5000 0.0000 0.0000  0.16
Si1 0.1255 0.1255 0.2509  -0.09
Si2 0.8745 0.8745 0.7491  -0.09


No. 4
Entry from Alexandria: a crystal of Gd2Se3 relaxed with PBEsol (SCAN).

Calculated values
Theoretical density (Mg/m³): 7.59
Crystal system: orthorhombic
E_form (uncorrected) (kJ per mole of atoms): -199.4
Total moment (μB per formula unit): 14.0
Calculated volume (A^3/atom): 24.13

a = 4.0234 Å, b = 10.8011 Å, c = 11.1075 Å
α = 90.00°, β = 90.00°, γ = 90.00°
Each line ends with the local moment (μB).
Positions (direct):
Gd1 0.2500 0.1868 0.4882  7.01
Gd2 0.2500 0.3132 0.9882  7.01
Gd3 0.7500 0.8132 0.5118  7.01
Gd4 0.7500 0.6868 0.0118  7.01
Gd5 0.7500 0.4983 0.6937  7.03
Gd6 0.7500 0.0017 0.1937  7.03
Gd7 0.2500 0.5017 0.3063  7.03
Gd8 0.2500 0.9983 0.8063  7.03
Se1 0.2500 0.6251 0.5452  -0.07
Se2 0.2500 0.8749 0.0452  -0.07
Se3 0.7500 0.3749 0.4548  -0.07
Se4 0.7500 0.1251 0.9548  -0.07
Se5 0.7500 0.0569 0.6209  -0.07
Se6 0.7500 0.4431 0.1209  -0.07
Se7 0.2500 0.9431 0.3791  -0.07
Se8 0.2500 0.5569 0.8791  -0.07
Se9 0.2500 0.3001 0.7281  -0.07
Se10 0.2500 0.1999 0.2281  -0.07
Se11 0.7500 0.6999 0.2719  -0.07
Se12 0.7500 0.8001 0.7719  -0.07


No. 5
Entry from Alexandria: a crystal of GdZnSi relaxed with PBEsol (SCAN).

Calculated values
Theoretical density (Mg/m³): 7.16
Crystal system: hexagonal
E_form (uncorrected) (kJ per mole of atoms): -63.6
Total moment (μB per formula unit): 7.4
Calculated volume (A^3/atom): 19.38

a = 4.0235 Å, b = 4.0845 Å, c = 4.0845 Å
α = 120.00°, β = 90.00°, γ = 90.00°
Each line ends with the local moment (μB).
Positions (direct):
Gd1 0.0000 0.3333 0.6667  7.21
Zn1 0.5000 0.6667 0.3333  0.00
Si1 0.5000 0.0000 0.0000  -0.07


No. 6
Entry from Alexandria: a crystal of Sm3Gd relaxed with PBEsol (SCAN).

Calculated values
Theoretical density (Mg/m³): 8.01
Crystal system: hexagonal
Total moment (μB per formula unit): 8.6
E_form (eV per formula unit): 0.10
Calculated volume (A^3/atom): 31.54

a = 5.7195 Å, b = 7.1369 Å, c = 7.1369 Å
α = 120.00°, β = 90.00°, γ = 90.00°
Each line ends with the local moment (μB).
Positions (direct):
Sm1 0.2500 0.6671 0.8335  0.11
Sm2 0.2500 0.1665 0.3329  0.11
Sm3 0.2500 0.1665 0.8335  0.11
Sm4 0.7500 0.3329 0.1665  0.11
Sm5 0.7500 0.8335 0.6671  0.11
Sm6 0.7500 0.8335 0.1665  0.11
Gd1 0.7500 0.3333 0.6667  7.48
Gd2 0.2500 0.6667 0.3333  7.48


No. 7
Entry from Alexandria: a crystal of Gd2TlZn relaxed with PBEsol (SCAN).

Calculated values
Theoretical density (Mg/m³): 9.90
Crystal system: cubic
Total moment (μB per formula unit): 15.2
E_form (eV per formula unit): -1.90
Calculated volume (A^3/atom): 24.49

a = 5.1743 Å, b = 5.1743 Å, c = 5.1743 Å
α = 60.00°, β = 60.00°, γ = 60.00°
Each line ends with the local moment (μB).
Positions (direct):
Tl1 0.0000 0.0000 0.0000  -0.06
Gd1 0.2500 0.2500 0.2500  7.28
Gd2 0.7500 0.7500 0.7500  7.28
Zn1 0.5000 0.5000 0.5000  0.00


No. 8
Entry from Alexandria: a crystal of GdY3 relaxed with PBEsol (SCAN).

Calculated values
Theoretical density (Mg/m³): 5.78
Crystal system: cubic
Total moment (μB per formula unit): 7.8
E_form (eV per formula unit): 0.25
Calculated volume (A^3/atom): 30.45

a = 4.9569 Å, b = 4.9569 Å, c = 4.9569 Å
α = 90.00°, β = 90.00°, γ = 90.00°
Each line ends with the local moment (μB).
Positions (direct):
Y1 0.5000 0.0000 0.5000  -0.01
Y2 0.0000 0.5000 0.5000  -0.01
Y3 0.5000 0.5000 0.0000  -0.01
Gd1 0.0000 0.0000 0.0000  7.42


No. 9
Entry from Alexandria: a crystal of Gd2Zn17 relaxed with PBEsol (SCAN).

Calculated values
Theoretical density (Mg/m³): 8.17
Crystal system: trigonal
Total moment (μB per formula unit): 14.5
E_form (eV per formula unit): -5.52
Calculated volume (A^3/atom): 15.26

a = 6.6667 Å, b = 6.6667 Å, c = 6.6667 Å
α = 82.85°, β = 82.85°, γ = 82.85°
Each line ends with the local moment (μB).
Positions (direct):
Gd1 0.6638 0.6638 0.6638  7.13
Gd2 0.3362 0.3362 0.3362  7.13
Zn1 0.3513 0.8394 0.3513  -0.01
Zn2 0.2957 0.0000 0.7043  -0.01
Zn3 0.0000 0.7043 0.2957  -0.01
Zn4 0.3513 0.3513 0.8394  -0.01
Zn5 0.6487 0.1606 0.6487  -0.01
Zn6 0.8394 0.3513 0.3513  -0.01
Zn7 0.7043 0.2957 0.0000  -0.01
Zn8 0.1606 0.6487 0.6487  -0.01
Zn9 0.6487 0.6487 0.1606  -0.01
Zn10 0.0000 0.5000 0.0000  -0.01
Zn11 0.7043 0.0000 0.2957  -0.01
Zn12 0.0997 0.0997 0.0997  -0.01
Zn13 0.0000 0.2957 0.7043  -0.01
Zn14 0.0000 0.0000 0.5000  -0.01
Zn15 0.9003 0.9003 0.9003  -0.01
Zn16 0.5000 0.0000 0.0000  -0.01
Zn17 0.2957 0.7043 0.0000  -0.01


No. 10
Entry from Alexandria: a crystal of Gd6Zn23 relaxed with PBEsol (SCAN).

Calculated values
Theoretical density (Mg/m³): 8.29
Crystal system: cubic
Total moment (μB per formula unit): 44.2
E_form (eV per formula unit): -9.93
Calculated volume (A^3/atom): 16.90

a = 8.8503 Å, b = 8.8503 Å, c = 8.8503 Å
α = 60.00°, β = 60.00°, γ = 60.00°
Each line ends with the local moment (μB).
Positions (direct):
Gd1 0.2920 0.2920 0.7080  -7.18
Gd2 0.7080 0.2920 0.7080  -7.18
Gd3 0.7080 0.2920 0.2920  -7.18
Gd4 0.7080 0.7080 0.2920  -7.18
Gd5 0.2920 0.7080 0.2920  -7.18
Gd6 0.2920 0.7080 0.7080  -7.18
Zn1 0.0000 0.0000 0.0000  0.02
Zn2 0.5000 0.5000 0.0000  0.01
Zn3 0.0000 0.5000 0.0000  0.01
Zn4 0.0000 0.5000 0.5000  0.01
Zn5 0.0000 0.0000 0.5000  0.01
Zn6 0.5000 0.0000 0.5000  0.01
Zn7 0.5000 0.0000 0.0000  0.01
Zn8 0.8771 0.3686 0.8771  0.01
Zn9 0.8771 0.8771 0.3686  0.01
Zn10 0.8771 0.8771 0.8771  0.01
Zn11 0.3686 0.8771 0.8771  0.01
Zn12 0.1229 0.6314 0.1229  0.01
Zn13 0.1229 0.1229 0.6314  0.01
Zn14 0.1229 0.1229 0.1229  0.01
Zn15 0.6314 0.1229 0.1229  0.01
Zn16 0.6726 0.9823 0.6726  0.02
Zn17 0.6726 0.6726 0.9823  0.02
Zn18 0.6726 0.6726 0.6726  0.02
Zn19 0.9823 0.6726 0.6726  0.02
Zn20 0.3274 0.0177 0.3274  0.02
Zn21 0.3274 0.3274 0.0177  0.02
Zn22 0.3274 0.3274 0.3274  0.02
Zn23 0.0177 0.3274 0.3274  0.02


No. 11
Entry from Alexandria: a crystal of GdZn2 relaxed with PBEsol (SCAN).

Calculated values
Theoretical density (Mg/m³): 8.23
Crystal system: orthorhombic
Total moment (μB per formula unit): 7.7
E_form (eV per formula unit): -1.32
Calculated volume (A^3/atom): 19.38

a = 4.4398 Å, b = 5.5816 Å, c = 5.5816 Å
α = 78.50°, β = 66.56°, γ = 66.56°
Each line ends with the local moment (μB).
Positions (direct):
Zn1 0.6651 0.3866 0.2832  0.02
Zn2 0.3349 0.2168 0.1134  0.02
Zn3 0.3349 0.6134 0.7168  0.02
Zn4 0.6651 0.7832 0.8866  0.02
Gd1 0.9625 0.7875 0.2875  7.28
Gd2 0.0375 0.2125 0.7125  7.28


No. 12
Entry from Alexandria: a crystal of Ge relaxed with PBEsol (SCAN).

Calculated values
Theoretical density (Mg/m³): 5.32
Crystal system: hexagonal
Total moment (μB per formula unit): 0.0
Polymorph energy (0 for the lowest one) (eV/atom): 0.0181
E_form (eV per formula unit): 0.02
Calculated volume (A^3/atom): 22.67

a = 3.9905 Å, b = 3.9905 Å, c = 6.5765 Å
α = 90.00°, β = 90.00°, γ = 120.00°
Positions (direct):
Ge1 0.3333 0.6667 0.4372
Ge2 0.6667 0.3333 0.9372
Ge3 0.3333 0.6667 0.0628
Ge4 0.6667 0.3333 0.5628